A relaxed structure of Al2ZnSe, computed with PBE.

Values from the calculation:
The theoretical density is 4.24 g/cm3. The raw formation energy is 109 meV/atom. The total DFT energy (no corrections) is -11.8 eV per formula unit.

Cell lengths 3.550, 5.491, 3.988 Å; angles 90.00, 90.00, 90.00 degrees
Sites, in units of the cell vectors:
Zn 0.000 0.500 0.500
Al 0.000 0.000 0.000
Al 0.500 0.500 0.000
Se 0.500 0.000 0.500